Record 1
VASP calculation (PBE) on Mn2GaFe after structural relaxation.

Unit cell a=3.9658 b=3.9658 c=3.1635 alpha=90.00 beta=90.00 gamma=90.00
Last column: nearest neighbours and their distance in Å.
Space group P4/mmm (No. 123)
Inequivalent atoms, fractional coordinates:
Mn (0.0000, 0.5000, 0.0000) x2  4 Fe 2.54, 4 Ga 2.54, 4 Mn 2.80
Ga (0.0000, 0.0000, 0.5000) x1  8 Mn 2.54, 4 Fe 2.80
Fe (0.5000, 0.5000, 0.5000) x1  8 Mn 2.54, 4 Ga 2.80

Properties
Mass density ... 7.86 g cm⁻³
Volume ... 49.8 Å³ per cell
Total magnetization ... 6.89 μB/cell
Crystal system ... tetragonal
VASP energy ... -29.9 eV/cell

---

Record 2
VASP calculation (PBE) on MnGaFe3 after structural relaxation.

Unit cell a=4.7216 b=4.0759 c=6.3050 alpha=90.00 beta=102.82 gamma=90.00
Last column: nearest neighbours and their distance in Å.
Space group P2_1/m (No. 11)
Inequivalent atoms, fractional coordinates:
Mn (0.0336, 0.2500, 0.3555) x2  7 Fe 2.41-2.52, 1 Ga 2.52
Ga (0.4473, 0.2500, 0.1617) x2  10 Fe 2.50-2.77, 2 Mn 2.52-2.77
Fe (0.1332, 0.7500, 0.0459) x2  4 Fe 2.40-2.45, 1 Mn 2.48, 3 Ga 2.53-2.61
Fe (0.2363, 0.2500, 0.7433) x2  3 Mn 2.41-2.42, 2 Fe 2.42-2.45, 3 Ga 2.52-2.61
Fe (0.3546, 0.7500, 0.4364) x2  4 Fe 2.45-2.49, 3 Mn 2.48-2.52, 1 Ga 2.50

Properties
Mass density ... 8.20 g cm⁻³
Volume ... 118.3 Å³ per cell
Total magnetization ... 15.00 μB/cell
Crystal system ... monoclinic
VASP energy ... -75.4 eV/cell

---

Record 3
VASP calculation (PBE) on MnGa5Fe10 after structural relaxation.

Unit cell a=9.3206 b=9.3206 c=4.6846 alpha=90.00 beta=90.00 gamma=90.00
Last column: nearest neighbours and their distance in Å.
Space group I422 (No. 97)
Inequivalent atoms, fractional coordinates:
Mn (0.0000, 0.0000, 0.0000) x2  2 Ga 2.34, 8 Fe 2.57
Ga (0.0000, 0.0000, 0.5000) x2  2 Mn 2.34, 8 Fe 2.56
Ga (0.1697, 0.3303, 0.7500) x8  10 Fe 2.43-2.69
Fe (0.0000, 0.5000, 0.0000) x4  2 Fe 2.34, 4 Ga 2.53
Fe (0.0725, 0.2338, 0.2544) x16  5 Ga 2.43-2.69, 2 Fe 2.55-2.67, 1 Mn 2.57

Properties
Mass density ... 7.85 g cm⁻³
Volume ... 407.0 Å³ per cell
Total magnetization ... 51.03 μB/cell
Crystal system ... tetragonal
VASP energy ... -218.0 eV/cell

---

Record 4
VASP calculation (PBE) on MnGa2Fe2 after structural relaxation.

Unit cell a=6.6341 b=6.6341 c=3.0750 alpha=90.00 beta=90.00 gamma=90.00
Last column: nearest neighbours and their distance in Å.
Space group P4/mbm (No. 127)
Inequivalent atoms, fractional coordinates:
Mn (0.0000, 0.0000, 0.0000) x2  4 Ga 2.58
Ga (0.1358, 0.3642, 0.0000) x4  6 Fe 2.42-2.52, 1 Ga 2.55, 2 Mn 2.58
Fe (0.1645, 0.6645, 0.5000) x4  6 Ga 2.42-2.52

Properties
Mass density ... 7.51 g cm⁻³
Volume ... 135.3 Å³ per cell
Total magnetization ... 15.26 μB/cell
Crystal system ... tetragonal
VASP energy ... -64.2 eV/cell

---

Record 5
VASP calculation (PBE) on MnGaFe after structural relaxation.

Unit cell a=2.6348 b=2.6348 c=10.3988 alpha=90.00 beta=90.00 gamma=90.00
Last column: nearest neighbours and their distance in Å.
Space group I4mm (No. 107)
Inequivalent atoms, fractional coordinates:
Mn (0.0000, 0.0000, 0.0000) x2  4 Fe 2.43, 4 Ga 2.62, 4 Mn 2.63
Ga (0.0000, 0.0000, 0.6770) x2  4 Fe 2.59, 4 Mn 2.62, 4 Ga 2.63
Fe (0.0000, 0.0000, 0.3504) x2  4 Mn 2.43, 4 Ga 2.59, 4 Fe 2.63

Properties
Mass density ... 8.30 g cm⁻³
Volume ... 72.2 Å³ per cell
Total magnetization ... 0.49 μB/cell
Crystal system ... tetragonal
VASP energy ... -41.7 eV/cell

---

Record 6
VASP calculation (PBE) on Mn14GaFe after structural relaxation.

Unit cell a=8.2454 b=5.1585 c=8.6794 alpha=90.00 beta=90.00 gamma=90.00
Last column: nearest neighbours and their distance in Å.
Space group Amm2 (No. 38)
Inequivalent atoms, fractional coordinates:
Mn (0.0000, 0.0000, 0.0000) x2  12 Mn 2.43-2.60
Mn (0.0000, 0.0000, 0.4992) x2  12 Mn 2.47-2.65
Mn (0.0000, 0.2444, 0.7479) x4  12 Mn 2.46-2.64
Mn (0.2430, 0.2433, 0.9353) x8  10 Mn 2.43-2.65, 1 Fe 2.53, 1 Ga 2.58
Mn (0.2441, 0.0000, 0.1898) x4  11 Mn 2.46-2.60, 1 Ga 2.58
Mn (0.2567, 0.0000, 0.6838) x4  11 Mn 2.48-2.65, 1 Fe 2.56
Mn (0.5000, 0.2454, 0.1092) x4  2 Fe 2.45-2.60, 8 Mn 2.48-2.63, 2 Ga 2.52-2.53
Ga (0.5000, 0.0000, 0.3617) x2  10 Mn 2.52-2.58, 2 Fe 2.58
Fe (0.5000, 0.0000, 0.8671) x2  10 Mn 2.45-2.60, 2 Ga 2.58

Properties
Mass density ... 8.05 g cm⁻³
Volume ... 369.2 Å³ per cell
Total magnetization ... 7.14 μB/cell
Crystal system ... orthorhombic
VASP energy ... -278.4 eV/cell

---

Record 7
VASP calculation (PBE) on Mn3Ga2Fe3 after structural relaxation.

Unit cell a=3.4177 b=3.7382 c=7.6091 alpha=90.00 beta=90.00 gamma=90.00
Last column: nearest neighbours and their distance in Å.
Space group Pmmm (No. 47)
Inequivalent atoms, fractional coordinates:
Mn (0.0000, 0.0000, 0.0000) x1  4 Fe 2.53, 4 Ga 2.56, 4 Mn 2.67
Mn (0.0000, 0.5000, 0.2498) x2  4 Ga 2.53, 6 Fe 2.56-2.67, 2 Mn 2.67
Ga (0.5000, 0.0000, 0.2506) x2  6 Mn 2.53-2.56, 6 Fe 2.55-2.67
Fe (0.0000, 0.0000, 0.5000) x1  4 Fe 2.53, 4 Ga 2.55, 4 Mn 2.67
Fe (0.5000, 0.5000, 0.0000) x1  8 Mn 2.53-2.56, 4 Ga 2.67
Fe (0.5000, 0.5000, 0.5000) x1  4 Fe 2.53, 4 Mn 2.56, 4 Ga 2.66

Properties
Mass density ... 8.06 g cm⁻³
Volume ... 97.2 Å³ per cell
Total magnetization ... 12.32 μB/cell
Crystal system ... orthorhombic
VASP energy ... -59.3 eV/cell

---

Record 8
VASP calculation (PBE) on Mn4GaFe after structural relaxation.

Unit cell a=8.0948 b=3.6254 c=5.1284 alpha=90.00 beta=109.08 gamma=90.00
Last column: nearest neighbours and their distance in Å.
Space group C2/m (No. 12)
Inequivalent atoms, fractional coordinates:
Mn (0.1604, 0.0000, 0.3196) x4  7 Mn 2.49-2.66, 2 Fe 2.50, 3 Ga 2.57-2.60
Mn (0.1728, 0.0000, 0.8415) x4  7 Mn 2.48-2.65, 3 Fe 2.50-2.58, 2 Ga 2.59
Ga (0.0000, 0.5000, 0.5000) x2  2 Fe 2.56, 10 Mn 2.57-2.60
Fe (0.0000, 0.5000, 0.0000) x2  10 Mn 2.50-2.58, 2 Ga 2.56

Properties
Mass density ... 8.06 g cm⁻³
Volume ... 142.2 Å³ per cell
Total magnetization ... 5.41 μB/cell
Crystal system ... monoclinic
VASP energy ... -96.7 eV/cell

---

Record 9
VASP calculation (PBE) on Mn3Ga2Fe2 after structural relaxation.

Unit cell a=7.0132 b=4.0441 c=6.3383 alpha=90.00 beta=111.51 gamma=90.00
Last column: nearest neighbours and their distance in Å.
Space group C2/m (No. 12)
Inequivalent atoms, fractional coordinates:
Mn (0.0000, 0.0000, 0.0000) x2  6 Fe 2.50, 2 Mn 2.65
Mn (0.1495, 0.0000, 0.4490) x4  1 Fe 2.36, 3 Mn 2.41, 3 Ga 2.56
Ga (0.0767, 0.5000, 0.7300) x4  4 Fe 2.44-2.48, 3 Mn 2.56, 1 Ga 2.71
Fe (0.2167, 0.5000, 0.1503) x4  4 Mn 2.36-2.50, 4 Ga 2.44-2.48

Properties
Mass density ... 8.26 g cm⁻³
Volume ... 167.2 Å³ per cell
Total magnetization ... 13.33 μB/cell
Crystal system ... monoclinic
VASP energy ... -100.8 eV/cell

---

Record 10
VASP calculation (PBE) on Mn2GaFe after structural relaxation.

Unit cell a=2.5916 b=2.5916 c=7.1904 alpha=90.00 beta=90.00 gamma=90.00
Last column: nearest neighbours and their distance in Å.
Space group P4/mmm (No. 123)
Inequivalent atoms, fractional coordinates:
Mn (0.0000, 0.0000, 0.2361) x2  4 Fe 2.50, 4 Mn 2.59, 4 Ga 2.64
Ga (0.5000, 0.5000, 0.5000) x1  4 Ga 2.59, 8 Mn 2.64
Fe (0.5000, 0.5000, 0.0000) x1  8 Mn 2.50, 4 Fe 2.59

Properties
Mass density ... 8.10 g cm⁻³
Volume ... 48.3 Å³ per cell
Total magnetization ... 2.39 μB/cell
Crystal system ... tetragonal
VASP energy ... -29.9 eV/cell

---

Record 11
VASP calculation (PBE) on Mn5GaFe6 after structural relaxation.

Unit cell a=3.9614 b=8.5277 c=8.0940 alpha=90.00 beta=90.00 gamma=90.00
Last column: nearest neighbours and their distance in Å.
Space group Cmmm (No. 65)
Inequivalent atoms, fractional coordinates:
Mn (0.0000, 0.0000, 0.0000) x2  4 Mn 2.44, 4 Fe 2.45
Mn (0.0000, 0.3182, 0.5000) x4  2 Mn 2.30, 4 Fe 2.43-2.52, 2 Ga 2.52
Mn (0.0000, 0.3320, 0.0000) x4  4 Fe 2.41-2.50, 4 Mn 2.42-2.44
Ga (0.0000, 0.0000, 0.5000) x2  6 Mn 2.52-2.71, 8 Fe 2.53-2.81
Fe (0.0000, 0.1698, 0.2438) x8  4 Fe 2.41-2.46, 3 Mn 2.41-2.45, 1 Ga 2.53
Fe (0.0000, 0.5000, 0.2538) x4  4 Fe 2.46, 4 Mn 2.50-2.52

Properties
Mass density ... 8.25 g cm⁻³
Volume ... 273.4 Å³ per cell
Total magnetization ... 32.70 μB/cell
Crystal system ... orthorhombic
VASP energy ... -197.9 eV/cell

---

Q: What is the mass density in the eighth record?
A: 8.06 g cm⁻³